Here is a geometry-optimized AlFe6Mo structure from the Alexandria database. Energies are from PBEsol.

a b c (Å): 6.1822 6.1822 10.1113
angles (deg): 90.00 90.00 109.65
Closest atoms and distances in Å follow each position.
Positions (direct):
Al 0.2470 0.7530 0.0000  12 Fe 2.50-2.56
Al 0.7530 0.2470 0.0000  12 Fe 2.50-2.56
Al 0.5000 0.5000 0.7452  12 Fe 2.48-2.58
Al 0.5000 0.5000 0.2548  12 Fe 2.48-2.58
Fe 0.2501 0.7499 0.7500  8 Fe 2.50-2.54, 2 Al 2.53, 2 Mo 2.53
Fe 0.8717 0.6209 0.8753  8 Fe 2.50-2.54, 3 Al 2.52-2.53, 1 Mo 2.58
Fe 0.1283 0.3791 0.8753  8 Fe 2.50-2.54, 3 Al 2.52-2.53, 1 Mo 2.58
Fe 0.7499 0.2501 0.7500  8 Fe 2.50-2.54, 2 Al 2.53, 2 Mo 2.53
Fe 0.3791 0.1283 0.8753  8 Fe 2.50-2.54, 3 Al 2.52-2.53, 1 Mo 2.58
Fe 0.6209 0.8717 0.8753  8 Fe 2.50-2.54, 3 Al 2.52-2.53, 1 Mo 2.58
Fe 0.5000 0.5000 0.5000  2 Al 2.48, 8 Fe 2.52, 2 Mo 2.57
Fe 0.1246 0.3744 0.6240  3 Mo 2.49-2.54, 1 Al 2.51, 8 Fe 2.51-2.54
Fe 0.3744 0.1246 0.6240  3 Mo 2.49-2.54, 1 Al 2.51, 8 Fe 2.51-2.54
Fe 0.2501 0.7499 0.2500  8 Fe 2.50-2.54, 2 Al 2.53, 2 Mo 2.53
Fe 0.8754 0.6256 0.3760  3 Mo 2.49-2.54, 1 Al 2.51, 8 Fe 2.51-2.54
Fe 0.1246 0.3744 0.3760  3 Mo 2.49-2.54, 1 Al 2.51, 8 Fe 2.51-2.54
Fe 0.7499 0.2501 0.2500  8 Fe 2.50-2.54, 2 Al 2.53, 2 Mo 2.53
Fe 0.3744 0.1246 0.3760  3 Mo 2.49-2.54, 1 Al 2.51, 8 Fe 2.51-2.54
Fe 0.6256 0.8754 0.3760  3 Mo 2.49-2.54, 1 Al 2.51, 8 Fe 2.51-2.54
Fe 0.5000 0.5000 0.0000  8 Fe 2.50, 4 Al 2.56-2.58
Fe 0.1283 0.3791 0.1247  8 Fe 2.50-2.54, 3 Al 2.52-2.53, 1 Mo 2.58
Fe 0.3791 0.1283 0.1247  8 Fe 2.50-2.54, 3 Al 2.52-2.53, 1 Mo 2.58
Fe 0.0000 0.0000 0.5000  4 Mo 2.46-2.48, 8 Fe 2.51
Fe 0.6256 0.8754 0.6240  3 Mo 2.49-2.54, 1 Al 2.51, 8 Fe 2.51-2.54
Fe 0.8754 0.6256 0.6240  3 Mo 2.49-2.54, 1 Al 2.51, 8 Fe 2.51-2.54
Fe 0.0000 0.0000 0.0000  2 Al 2.50, 8 Fe 2.54, 2 Mo 2.59
Fe 0.6209 0.8717 0.1247  8 Fe 2.50-2.54, 3 Al 2.52-2.53, 1 Mo 2.58
Fe 0.8717 0.6209 0.1247  8 Fe 2.50-2.54, 3 Al 2.52-2.53, 1 Mo 2.58
Mo 0.2458 0.7542 0.5000  12 Fe 2.48-2.57
Mo 0.7542 0.2458 0.5000  12 Fe 2.48-2.57
Mo 0.0000 0.0000 0.7435  12 Fe 2.46-2.59
Mo 0.0000 0.0000 0.2565  12 Fe 2.46-2.59

Calculated values
final energy: -8.73 eV/atom
ΔE_f: -0.233 eV/f.u.
V: 364 Å³/cell
space group: No. 65
crystal system: orthorhombic